{"formula": "Ta2CdMoO", "functional": "PBE with a Hubbard U", "state": "optimized geometry", "dft_energy_ev_per_atom": -7.38, "dos_at_fermi_per_ev_cell": 2.8, "cell": [[-3.775, 0.936, 1.502], [-2.018, -1.404, -4.197], [-0.374, -3.880, 1.478]], "species": ["Cd", "Ta", "Ta", "Mo", "O"], "fractional_positions": [[0.000, 0.500, 0.000], [0.500, 0.000, 0.000], [0.000, 0.000, 0.500], [0.500, 0.500, 0.500], [0.000, 0.000, 0.000]]}